[1]
The following is a DFT calculation (PBE) of an optimized crystal structure of CsTi2Cl7.

Cell lengths 6.861, 11.382, 7.649 Å; angles 90.00, 95.85, 90.00 degrees
Space group P2_1/m (No. 11)
Asymmetric unit:
Cs1 0.070 0.250 0.370
Ti1 0.414 0.114 0.876
Cl1 0.132 0.250 0.870
Cl2 0.256 0.003 0.652
Cl3 0.282 0.503 0.105
Cl4 0.442 0.750 0.894
Cl5 0.461 0.750 0.336

The size of the total moment is 4.036 μB/cell. The total energy comes out at -4.674 eV/atom. For the uncorrected formation energy, the calculation gives -17.2 eV per formula unit. The calculation puts the calculated density at 2.66 g/cm3.

=====

[2]
The following is a DFT calculation (PBE) of an optimized crystal structure of VPdS4.

Cell lengths 13.076, 3.380, 5.996 Å; angles 90.00, 116.81, 90.00 degrees
Space group C2/m (No. 12)
Asymmetric unit:
V1 0.000 0.000 0.000
Pd1 0.000 0.500 0.500
S1 0.116 0.000 0.439
S2 0.116 0.500 0.949

The size of the total moment is 1.962 μB/cell. The total energy comes out at -5.562 eV/atom. For the uncorrected formation energy, the calculation gives -2.6 eV per formula unit. The calculation puts the calculated density at 4.01 g/cm3.

=====

[3]
The following is a DFT calculation (PBE) of an optimized crystal structure of Cs2Te2I.

Cell lengths 9.645, 9.645, 5.380 Å; angles 90.00, 90.00, 90.00 degrees
Space group P4/mbm (No. 127)
Asymmetric unit:
Cs1 0.191 0.309 0.000
Te1 0.099 0.599 0.500
I1 0.000 0.000 0.500

The size of the total moment is 0.000 μB/cell. The total energy comes out at -2.741 eV/atom. For the uncorrected formation energy, the calculation gives -4.2 eV per formula unit. The calculation puts the calculated density at 4.30 g/cm3.

=====

[4]
The following is a DFT calculation (PBE) of an optimized crystal structure of PrNd3Se6.

Cell lengths 13.384, 7.906, 7.350 Å; angles 90.00, 123.11, 90.00 degrees
Space group C2/m (No. 12)
Asymmetric unit:
Pr1 0.000 0.000 0.000
Nd1 0.000 0.500 0.500
Nd2 0.250 0.000 0.689
Se1 0.092 0.250 0.344
Se2 0.249 0.500 0.919

The size of the total moment is 0.000 μB/cell. The total energy comes out at -5.721 eV/atom. For the uncorrected formation energy, the calculation gives -17.2 eV per formula unit. The calculation puts the calculated density at 5.34 g/cm3.

=====

[5]
The following is a DFT calculation (PBE) of an optimized crystal structure of BaTiRe2.

Cell lengths 6.741, 6.741, 6.741 Å; angles 90.00, 90.00, 90.00 degrees
Space group Fm-3m (No. 225)
Asymmetric unit:
Ba1 0.000 0.000 0.000
Ti1 0.000 0.000 0.500
Re1 0.250 0.250 0.250

As for the formation energy: 1.202 eV/atom. The size of the total moment is 0.000 μB/cell. The total energy comes out at -7.476 eV/atom. The calculation puts the calculated density at 12.09 g/cm3.

=====

[6]
The following is a DFT calculation (PBE) of an optimized crystal structure of PmGa2Ge2.

Cell lengths 4.1441, 4.1441, 23.8179 Å; angles 90.00, 90.00, 120.00 degrees
Space group R-3m (No. 166, hexagonal axes)
Asymmetric unit:
Pm1 0.0000 0.0000 0.0000
Ga1 0.0000 0.0000 0.2219
Ge1 0.0000 0.0000 0.4132

As for the formation energy: -0.228 eV/atom. The size of the total moment is 0.000 μB/cell. The total energy comes out at -4.236 eV/atom. The calculation puts the calculated density at 6.04 g/cm3.

=====

[7]
The following is a DFT calculation (PBE) of an optimized crystal structure of Np2TlI8.

Cell lengths 10.5926, 10.5926, 6.1688 Å; angles 90.00, 90.00, 120.00 degrees
Space group P-3 (No. 147)
Asymmetric unit:
Np1 0.3333 0.6667 0.2435
Tl1 0.0000 0.0000 0.0000
I1 0.1726 0.3472 0.2602
I2 0.3333 0.6667 0.7536

The size of the total moment is 7.000 μB/cell. The total energy comes out at -4.351 eV/atom. For the uncorrected formation energy, the calculation gives -7.2 eV per formula unit. The calculation puts the calculated density at 4.69 g/cm3.

=====

[8]
The following is a DFT calculation (PBE) of an optimized crystal structure of PrSc2ReN4.

Cell lengths 3.361, 11.414, 11.112 Å; angles 90.00, 90.00, 90.00 degrees
Space group Cmcm (No. 63)
Asymmetric unit:
Pr1 0.000 0.110 0.250
Sc1 0.000 0.370 0.037
Re1 0.000 0.150 0.750
N1 0.000 0.000 0.000
N2 0.000 0.260 0.616
N3 0.000 0.441 0.250

The size of the total moment is 0.001 μB/cell. The total energy comes out at -8.979 eV/atom. For the uncorrected formation energy, the calculation gives -8.6 eV per formula unit. The calculation puts the calculated density at 7.37 g/cm3.

=====

[9]
The following is a DFT calculation (PBE) of an optimized crystal structure of NaCu2Pd2.

Cell lengths 3.675, 3.675, 12.526 Å; angles 90.00, 90.00, 90.00 degrees
Space group I4/mmm (No. 139)
Asymmetric unit:
Na1 0.000 0.000 0.000
Cu1 0.000 0.500 0.250
Pd1 0.000 0.000 0.391

As for the formation energy: 0.123 eV/atom. The size of the total moment is 0.000 μB/cell. The total energy comes out at -3.856 eV/atom. The calculation puts the calculated density at 7.13 g/cm3.

=====

[10]
The following is a DFT calculation (PBE) of an optimized crystal structure of Pm2Nd2Tm2Mg.

Cell lengths 12.272, 3.704, 11.655 Å; angles 90.00, 119.91, 90.00 degrees
Space group C2/m (No. 12)
Asymmetric unit:
Pm1 0.181 0.000 0.090
Nd1 0.024 0.000 0.741
Tm1 0.241 0.000 0.620
Mg1 0.000 0.500 0.500

As for the formation energy: 0.079 eV/atom. The size of the total moment is 0.000 μB/cell. The total energy comes out at -4.145 eV/atom. The calculation puts the calculated density at 6.80 g/cm3.

=====

[11]
The following is a DFT calculation (PBE) of an optimized crystal structure of EuCd4Pt.

Cell lengths 8.100, 8.100, 8.100 Å; angles 90.00, 90.00, 90.00 degrees
Space group F-43m (No. 216)
Asymmetric unit:
Eu1 0.000 0.000 0.000
Cd1 0.124 0.124 0.376
Pt1 0.250 0.250 0.750

As for the formation energy: -0.202 eV/atom. The size of the total moment is 27.924 μB/cell. The total energy comes out at -3.532 eV/atom. The calculation puts the calculated density at 9.96 g/cm3.

=====

[12]
The following is a DFT calculation (PBE) of an optimized crystal structure of SrCaTlGa2.

Cell lengths 5.749, 5.749, 6.538 Å; angles 90.00, 90.00, 90.00 degrees
Space group P4/mmm (No. 123)
Asymmetric unit:
Sr1 0.000 0.000 0.000
Ca1 0.000 0.000 0.500
Tl1 0.500 0.500 0.500
Ga1 0.000 0.500 0.000

As for the formation energy: 0.709 eV/atom. The size of the total moment is 0.000 μB/cell. The total energy comes out at -1.711 eV/atom. The calculation puts the calculated density at 3.62 g/cm3.

=====

[13]
The following is a DFT calculation (PBE) of an optimized crystal structure of Rb3TlI2O9.

Cell lengths 6.0135, 6.0135, 7.3656 Å; angles 90.00, 90.00, 120.00 degrees
Space group P-3m1 (No. 164)
Asymmetric unit:
Rb1 0.0000 0.0000 0.0000
Rb2 0.3333 0.6667 0.6681
Tl1 0.0000 0.0000 0.5000
I1 0.3333 0.6667 0.1685
O1 0.0000 0.5000 0.0000
O2 0.1813 0.3627 0.3127

The size of the total moment is 0.000 μB/cell. The total energy comes out at -4.296 eV/atom. For the uncorrected formation energy, the calculation gives -11.4 eV per formula unit. The calculation puts the calculated density at 6.18 g/cm3.

=====

[14]
The following is a DFT calculation (PBE) of an optimized crystal structure of PmGaOs.

Cell lengths 5.482, 5.589, 7.494 Å; angles 90.00, 90.00, 90.00 degrees
Space group Imma (No. 74)
Asymmetric unit:
Pm1 0.000 0.250 0.115
Ga1 0.000 0.000 0.500
Os1 0.250 0.250 0.750

As for the formation energy: -0.338 eV/atom. The size of the total moment is 0.000 μB/cell. The total energy comes out at -6.674 eV/atom. The calculation puts the calculated density at 11.71 g/cm3.

=====

[15]
The following is a DFT calculation (PBE) of an optimized crystal structure of Re4As5S4.

Cell lengths 10.028, 10.028, 10.028 Å; angles 90.00, 90.00, 90.00 degrees
Space group F-43m (No. 216)
Asymmetric unit:
Re1 0.099 0.099 0.401
As1 0.000 0.000 0.000
As2 0.145 0.145 0.145
S1 0.131 0.131 0.631

The size of the total moment is 0.000 μB/cell. The total energy comes out at -7.225 eV/atom. For the uncorrected formation energy, the calculation gives -4.4 eV per formula unit. The calculation puts the calculated density at 8.22 g/cm3.

=====

[16]
The following is a DFT calculation (PBE) of an optimized crystal structure of RbI3O9.

Cell lengths 7.204, 7.484, 9.675 Å; angles 90.03, 105.69, 117.47 degrees
Space group P-1 (No. 2)
Asymmetric unit:
Rb1 0.082 0.309 0.398
I1 0.025 0.228 0.809
I2 0.452 0.773 0.164
I3 0.473 0.281 0.204
O1 0.126 0.142 0.684
O2 0.170 0.081 0.167
O3 0.192 0.744 0.323
O4 0.195 0.724 0.036
O5 0.232 0.541 0.796
O6 0.352 0.454 0.123
O7 0.384 0.171 0.971
O8 0.425 0.922 0.765
O9 0.480 0.644 0.609

The size of the total moment is 0.000 μB/cell. The total energy comes out at -4.279 eV/atom. For the uncorrected formation energy, the calculation gives -5.4 eV per formula unit. The calculation puts the calculated density at 4.60 g/cm3.

=====

[17]
The following is a DFT calculation (PBE) of an optimized crystal structure of SmZrAsP.

Cell lengths 3.8898, 3.8898, 20.5249 Å; angles 90.00, 90.00, 120.00 degrees
Space group R3m (No. 160, hexagonal axes)
Asymmetric unit:
Sm1 0.0000 0.0000 0.0000
Zr1 0.0000 0.0000 0.1797
As1 0.0000 0.0000 0.7644
P1 0.0000 0.0000 0.5817

As for the formation energy: -1.312 eV/atom. The size of the total moment is 0.000 μB/cell. The total energy comes out at -7.143 eV/atom. The calculation puts the calculated density at 6.44 g/cm3.

=====

[18]
The following is a DFT calculation (PBE) of an optimized crystal structure of Nd7Al7Co6.

Cell lengths 13.848, 13.848, 4.174 Å; angles 90.00, 90.00, 90.00 degrees
Space group P4/mbm (No. 127)
Asymmetric unit:
Nd1 0.000 0.000 0.000
Nd2 0.048 0.261 0.000
Nd3 0.132 0.632 0.500
Al1 0.000 0.500 0.000
Al2 0.098 0.861 0.500
Al3 0.215 0.285 0.500
Co1 0.073 0.427 0.500
Co2 0.165 0.789 0.000

As for the formation energy: -0.385 eV/atom. The size of the total moment is 0.000 μB/cell. The total energy comes out at -5.496 eV/atom. The calculation puts the calculated density at 6.44 g/cm3.

=====

[19]
The following is a DFT calculation (PBE) of an optimized crystal structure of AcEuZnSn.

Cell lengths 7.901, 7.901, 7.901 Å; angles 90.00, 90.00, 90.00 degrees
Space group F-43m (No. 216)
Asymmetric unit:
Ac1 0.000 0.000 0.000
Eu1 0.000 0.000 0.500
Zn1 0.250 0.250 0.750
Sn1 0.250 0.250 0.250

As for the formation energy: -0.477 eV/atom. The size of the total moment is 30.827 μB/cell. The total energy comes out at -5.392 eV/atom. The calculation puts the calculated density at 7.58 g/cm3.

=====

[20]
The following is a DFT calculation (PBE) of an optimized crystal structure of Cs2HgAuF.

Cell lengths 9.204, 4.401, 9.864 Å; angles 90.00, 90.59, 90.00 degrees
Space group P2_1/m (No. 11)
Asymmetric unit:
Cs1 0.157 0.250 0.173
Cs2 0.187 0.250 0.580
Hg1 0.478 0.250 0.876
Au1 0.257 0.750 0.883
F1 0.123 0.750 0.382

The size of the total moment is 0.000 μB/cell. The total energy comes out at -2.621 eV/atom. For the uncorrected formation energy, the calculation gives -5.9 eV per formula unit. The calculation puts the calculated density at 5.67 g/cm3.

=====

[21]
The following is a DFT calculation (PBE) of an optimized crystal structure of Nd2In2Ag.

Cell lengths 11.382, 4.802, 11.404 Å; angles 90.00, 116.74, 90.00 degrees
Space group C2/m (No. 12)
Asymmetric unit:
Nd1 0.018 0.000 0.333
Nd2 0.179 0.000 0.105
In1 0.030 0.500 0.884
In2 0.142 0.500 0.568
Ag1 0.222 0.500 0.343

As for the formation energy: -0.415 eV/atom. The size of the total moment is 0.000 μB/cell. The total energy comes out at -3.987 eV/atom. The calculation puts the calculated density at 7.47 g/cm3.